(1)
Material: BeIrRu2
Method: DFT, PBE
State: optimized geometry

Cell and atoms, written as POSCAR:
```
BeIrRu2
1.0
3.6255 0.0000 0.0000
0.0000 3.6255 0.0000
1.8128 1.8128 8.6571
Ru Be Ir
4 2 2
Direct
0.5906 0.1250 0.2500 Ru
0.3750 0.4094 0.7500 Ru
0.8750 0.8406 0.7500 Ru
0.1594 0.6250 0.2500 Ru
0.2500 0.7500 0.5000 Be
0.5000 0.5000 0.0000 Be
0.0000 0.0000 0.0000 Ir
0.7500 0.2500 0.5000 Ir
```

Results
Final energy, eV per atom: -7.307
DOS(E_F), states/eV per cell: 16.95
Calculated volume, Å³ per atom: 14.2
SG: I-42d (122)
ρ, g cm⁻³: 11.77
Formation energy from the elements, meV/atom: 478

(2)
Material: BeIrRu2
Method: DFT, PBE
State: optimized geometry

Cell and atoms, written as POSCAR:
```
BeIrRu2
1.0
-2.5319 1.3657 -3.6989
0.2901 -2.9668 -3.6155
-0.9149 -0.5079 4.5676
Ru Be Ir
2 1 1
Direct
0.0000 0.0000 0.0000 Ru
0.5000 0.5000 0.0000 Ru
0.2500 0.7500 0.5000 Be
0.7500 0.2500 0.5000 Ir
```

Results
Final energy, eV per atom: -7.777
DOS(E_F), states/eV per cell: 4.35
Calculated volume, Å³ per atom: 13.1
SG: I4/mmm (139)
ρ, g cm⁻³: 12.82
Formation energy from the elements, meV/atom: 8

(3)
Material: BeIr3Ru
Method: DFT, PBE
State: optimized geometry

Cell and atoms, written as POSCAR:
```
BeIr3Ru
1.0
-4.3818 -0.5422 1.5252
0.2318 -4.5662 -0.9572
1.6020 -0.8222 4.3102
Ru Be Ir
1 1 3
Direct
0.0000 0.0000 0.0000 Ru
0.5000 0.5000 0.5000 Be
0.5000 0.0000 0.0000 Ir
0.0000 0.0000 0.5000 Ir
0.0000 0.5000 0.0000 Ir
```

Results
Final energy, eV per atom: -5.825
DOS(E_F), states/eV per cell: 5.82
Calculated volume, Å³ per atom: 20.4
SG: Pm-3m (221)
Offset from the most stable computed form, meV per atom: 1572
ρ, g cm⁻³: 11.19
Formation energy from the elements, meV/atom: 2092

(4)
Material: BeIrRu2
Method: DFT, PBE
State: optimized geometry

Cell and atoms, written as POSCAR:
```
BeIrRu2
1.0
2.7378 0.0000 0.0000
0.0000 3.7836 0.0000
0.0000 0.0000 5.0611
Be Ir Ru
1 1 2
Direct
0.5000 0.5000 0.2500 Be
0.5000 0.5000 0.7500 Ir
0.0000 0.0000 0.0143 Ru
0.0000 0.0000 0.4857 Ru
```

Results
Final energy, eV per atom: -7.770
DOS(E_F), states/eV per cell: 4.26
Calculated volume, Å³ per atom: 13.1
SG: Pmmm (47)
ρ, g cm⁻³: 12.78
Formation energy from the elements, meV/atom: 14